[1]
DFT (PBE) results for crystalline NaInHg at its relaxed geometry.

a b c (Å): 5.100 5.100 3.391
angles (deg): 90.00 90.00 120.00
Fractional positions:
Na 0.667 0.333 0.500
In 0.333 0.667 0.000
Hg 0.000 0.000 0.000

Values from the calculation:
As for the offset from the most stable computed form: 2.0 meV/atom. Its space group is P-6m2, No. 187.

[2]
DFT (PBE) results for crystalline NaInHg2 at its relaxed geometry.

a b c (Å): 7.166 5.305 10.616
angles (deg): 90.00 90.00 90.00
Fractional positions:
In 0.250 0.250 0.118
In 0.250 0.250 0.618
Hg 0.500 0.750 0.132
Hg 0.000 0.750 0.132
Na 0.750 0.250 0.117
Hg 0.500 0.250 0.868
Na 0.250 0.750 0.383
Hg 0.500 0.250 0.368
Na 0.750 0.250 0.617
Na 0.250 0.750 0.883
Hg 0.000 0.250 0.368
Hg 0.500 0.750 0.632
Hg 0.000 0.250 0.868
In 0.750 0.750 0.882
In 0.750 0.750 0.382
Hg 0.000 0.750 0.632

Values from the calculation:
The calculation puts the energy at -1.348 eV/atom. Its space group is Pmmn, No. 59.

[3]
DFT (PBE) results for crystalline Na8In2Hg at its relaxed geometry.

a b c (Å): 5.325 5.325 12.104
angles (deg): 102.86 102.86 59.93
Fractional positions:
Na 0.269 0.269 0.805
Na 0.823 0.823 0.468
Na 0.362 0.362 0.087
Na 0.911 0.911 0.733
Hg 0.000 0.000 0.000
Na 0.089 0.089 0.267
Na 0.731 0.731 0.195
Na 0.177 0.177 0.532
In 0.544 0.544 0.630
Na 0.638 0.638 0.913
In 0.456 0.456 0.370

Values from the calculation:
The calculation puts the energy at -1.567 eV/atom. Its space group is C2/m, No. 12.

[4]
DFT (PBE) results for crystalline NaInHg2 at its relaxed geometry.

a b c (Å): 3.459 3.459 8.585
angles (deg): 90.00 90.00 90.00
Fractional positions:
Na 0.000 0.000 0.500
In 0.000 0.000 0.000
Hg 0.500 0.500 0.744
Hg 0.500 0.500 0.256

Values from the calculation:
The calculation puts the energy at -1.313 eV/atom. Its space group is P4/mmm, No. 123.

[5]
DFT (PBE) results for crystalline NaInHg at its relaxed geometry.

a b c (Å): 5.095 5.095 3.444
angles (deg): 90.00 90.00 120.00
Fractional positions:
Na 0.333 0.667 0.666
In 0.667 0.333 0.168
Hg 0.000 0.000 0.166

Values from the calculation:
As for the offset from the most stable computed form: 0.0 meV/atom. Its space group is P3m1, No. 156.

[6]
DFT (PBE) results for crystalline NaInHg at its relaxed geometry.

a b c (Å): 4.961 4.961 4.961
angles (deg): 60.00 60.00 60.00
Fractional positions:
Na 0.750 0.750 0.750
In 0.250 0.250 0.250
Hg 0.000 0.000 0.000

Values from the calculation:
As for the offset from the most stable computed form: 89.7 meV/atom. Its space group is F-43m, No. 216.

[7]
DFT (PBE) results for crystalline NaInHg2 at its relaxed geometry.

a b c (Å): 5.235 7.347 15.696
angles (deg): 90.00 90.00 90.00
Fractional positions:
Hg 0.000 0.750 0.167
Hg 0.000 0.250 0.833
Na 0.000 0.500 0.000
Hg 0.000 0.750 0.500
Hg 0.500 0.250 0.333
Na 0.500 0.000 0.500
Hg 0.000 0.250 0.167
In 0.500 0.500 0.167
Na 0.000 0.500 0.333
In 0.500 0.500 0.833
Hg 0.500 0.750 0.667
Na 0.000 0.500 0.667
Hg 0.000 0.750 0.833
In 0.500 0.500 0.500
Hg 0.000 0.250 0.500
Hg 0.500 0.750 0.333
In 0.000 0.000 0.667
Na 0.500 0.000 0.167
Hg 0.500 0.750 0.000
In 0.000 0.000 0.333
Hg 0.500 0.250 0.000
In 0.000 0.000 0.000
Na 0.500 0.000 0.833
Hg 0.500 0.250 0.667

Values from the calculation:
The calculation puts the energy at -1.350 eV/atom. Its space group is I4/mmm, No. 139.

[8]
DFT (PBE) results for crystalline Na4In3Hg at its relaxed geometry.

a b c (Å): 5.174 5.174 7.365
angles (deg): 90.00 90.00 90.00
Fractional positions:
Hg 0.000 0.000 0.000
In 0.500 0.500 0.500
Na 0.500 0.500 0.000
Na 0.000 0.000 0.500
In 0.500 0.000 0.248
Na 0.000 0.500 0.247
Na 0.500 0.000 0.753
In 0.000 0.500 0.752

Values from the calculation:
The calculation puts the energy at -1.890 eV/atom. Its space group is P-4m2, No. 115.